No. 1
Compound: Nd2Zn2Au
Source: the Alexandria database
Functional: PBE-GGA
Structure: relaxed

Calculated values
DOS(E_F)   0.880 states/eV/atom
Crystal system   monoclinic
Total magnetic moment   0.00 μB/cell
DFT total energy   -35.520 eV for the cell shown

abc: 4.6236 5.7399 10.1121
angles: 87.95 76.78 66.25
Sites, in units of the cell vectors:
Nd1 0.6862 0.2900 0.3376
Nd2 0.9153 0.2802 0.8892
Nd3 0.3138 0.7100 0.6624
Nd4 0.0847 0.7198 0.1108
Zn1 0.0745 0.2884 0.5626
Zn2 0.6263 0.8584 0.8890
Zn3 0.9255 0.7116 0.4374
Zn4 0.3737 0.1416 0.1110
Au1 0.6086 0.1210 0.6619
Au2 0.3914 0.8790 0.3381

---

No. 2
Compound: LaHgRh3
Source: the Alexandria database
Functional: PBE-GGA
Structure: relaxed

Calculated values
DOS(E_F)   1.823 states/eV/atom
Crystal system   cubic
Total magnetic moment   0.36 μB/cell
Energy above the most stable polymorph in this dataset   0.000 eV/atom
DFT total energy   -24.053 eV for the cell shown

abc: 4.9460 4.9460 4.9460
angles: 90.00 90.00 90.00
Each line ends with the local moment (μB).
Sites, in units of the cell vectors:
Rh1 0.0000 0.5000 0.0000  0.14
Rh2 0.0000 0.0000 0.5000  0.13
Rh3 0.5000 0.0000 0.0000  0.10
Hg1 0.0000 0.0000 0.0000  0.00
La1 0.5000 0.5000 0.5000  -0.01

---

No. 3
Compound: TbNdErLu
Source: the Alexandria database
Functional: PBE-GGA
Structure: relaxed

Calculated values
DOS(E_F)   1.585 states/eV/atom
Crystal system   cubic
Total magnetic moment   0.00 μB/cell
DFT total energy   -18.056 eV for the cell shown

abc: 5.6590 5.6590 5.6590
angles: 60.00 60.00 60.00
Sites, in units of the cell vectors:
Nd1 0.5000 0.5000 0.5000
Lu1 0.7500 0.7500 0.7500
Tb1 0.0000 0.0000 0.0000
Er1 0.2500 0.2500 0.2500

---

No. 4
Compound: AlZn4In
Source: the Alexandria database
Functional: PBE-GGA
Structure: relaxed

Calculated values
DOS(E_F)   0.500 states/eV/atom
Crystal system   cubic
Total magnetic moment   0.00 μB/cell
DFT total energy   -10.805 eV for the cell shown

abc: 5.3090 5.3090 5.3090
angles: 60.00 60.00 60.00
Sites, in units of the cell vectors:
Al1 0.2500 0.2500 0.2500
Zn1 0.6244 0.6244 0.1267
Zn2 0.6244 0.1267 0.6244
Zn3 0.6244 0.6244 0.6244
Zn4 0.1267 0.6244 0.6244
In1 0.0000 0.0000 0.0000

---

| no. | calculated density (Mg/m³) |
| --- | --- |
| 1 | 8.58 |
| 2 | 8.90 |
| 3 | 8.36 |
| 4 | 6.33 |